1.
# Cs2Ga2Cl PBE relaxed
# Density of states at the Fermi level ... 3.296 states/eV/cell
# E_form (uncorrected) ... -68 kJ/mol of atoms
data_Cs2Ga2Cl
_chemical_formula_sum 'Cs4 Ga4 Cl2'
_symmetry_space_group_name_H-M 'I 4/m m m'
_symmetry_Int_Tables_number 139
_symmetry_space_group_name_Hall '-I 4 2'
_cell_length_a 4.0302
_cell_length_b 4.0302
_cell_length_c 22.0422
_cell_angle_alpha 90.00
_cell_angle_beta 90.00
_cell_angle_gamma 90.00
loop_
_atom_site_label
_atom_site_fract_x
_atom_site_fract_y
_atom_site_fract_z
Cs1 0.0000 0.0000 0.0952
Ga1 0.0000 0.5000 0.2500
Cl1 0.0000 0.0000 0.5000

***

2.
# PRuS2Cl PBE relaxed
# Density of states at the Fermi level ... 5.640 states/eV/cell
# E_form (uncorrected) ... 88 kJ/mol of atoms
# Offset from the most stable computed form ... 388 meV/atom
data_PRuS2Cl
_chemical_formula_sum 'P1 Ru1 S2 Cl1'
_symmetry_space_group_name_H-M 'P 4/m m m'
_symmetry_Int_Tables_number 123
_symmetry_space_group_name_Hall '-P 4 2'
_cell_length_a 4.5833
_cell_length_b 4.5833
_cell_length_c 4.5740
_cell_angle_alpha 90.00
_cell_angle_beta 90.00
_cell_angle_gamma 90.00
loop_
_atom_site_label
_atom_site_fract_x
_atom_site_fract_y
_atom_site_fract_z
P1 0.0000 0.0000 0.0000
Ru1 0.5000 0.5000 0.5000
S1 0.0000 0.5000 0.0000
Cl1 0.0000 0.0000 0.5000

***

3.
# InTePd2 PBE relaxed
# Density of states at the Fermi level ... 1.875 states/eV/cell
# E_form (uncorrected) ... -27 kJ/mol of atoms
# Offset from the most stable computed form ... 158 meV/atom
data_InTePd2
_chemical_formula_sum 'In1 Te1 Pd2'
_symmetry_space_group_name_H-M 'P 4/m m m'
_symmetry_Int_Tables_number 123
_symmetry_space_group_name_Hall '-P 4 2'
_cell_length_a 4.6336
_cell_length_b 4.6336
_cell_length_c 3.6088
_cell_angle_alpha 90.00
_cell_angle_beta 90.00
_cell_angle_gamma 90.00
loop_
_atom_site_label
_atom_site_fract_x
_atom_site_fract_y
_atom_site_fract_z
In1 0.0000 0.0000 0.0000
Te1 0.5000 0.5000 0.0000
Pd1 0.0000 0.5000 0.5000

***

4.
# Na8PS2 PBE relaxed
# Density of states at the Fermi level ... 2.914 states/eV/cell
# E_form (uncorrected) ... -54 kJ/mol of atoms
data_Na8PS2
_chemical_formula_sum 'Na16 P2 S4'
_symmetry_space_group_name_H-M 'I m m m'
_symmetry_Int_Tables_number 71
_symmetry_space_group_name_Hall '-I 2 2'
_cell_length_a 4.5678
_cell_length_b 7.2490
_cell_length_c 15.0609
_cell_angle_alpha 90.00
_cell_angle_beta 90.00
_cell_angle_gamma 90.00
loop_
_atom_site_label
_atom_site_fract_x
_atom_site_fract_y
_atom_site_fract_z
Na1 0.0000 0.0000 0.1624
Na2 0.0000 0.2168 0.3504
Na3 0.0000 0.2754 0.0000
P1 0.0000 0.5000 0.5000
S1 0.0000 0.5000 0.2069

***

5.
# Li2CdPb PBE relaxed
# Density of states at the Fermi level ... 2.592 states/eV/cell
# Offset from the most stable computed form ... 6 meV/atom
data_Li2CdPb
_chemical_formula_sum 'Li4 Cd2 Pb2'
_symmetry_space_group_name_H-M 'P m m n'
_symmetry_Int_Tables_number 59
_cell_length_a 4.8938
_cell_length_b 6.3686
_cell_length_c 5.2302
_cell_angle_alpha 90.00
_cell_angle_beta 90.00
_cell_angle_gamma 90.00
loop_
_symmetry_equiv_pos_as_xyz
'x,y,z'
'-x,-y,-z'
'-x+1/2,-y+1/2,z'
'x+1/2,y+1/2,-z'
'x+1/2,-y,-z'
'-x+1/2,y,z'
'-x,y+1/2,-z'
'x,-y+1/2,z'
loop_
_atom_site_label
_atom_site_fract_x
_atom_site_fract_y
_atom_site_fract_z
Li1 0.2500 0.0014 0.1846
Cd1 0.2500 0.7500 0.6938
Pb1 0.2500 0.2500 0.6940

***

6.
# YPaSe4 PBE relaxed
# E_form (uncorrected) ... -142 kJ/mol of atoms
# Offset from the most stable computed form ... 94 meV/atom
data_YPaSe4
_chemical_formula_sum 'Y2 Pa2 Se8'
_symmetry_space_group_name_H-M 'C m m m'
_symmetry_Int_Tables_number 65
_symmetry_space_group_name_Hall '-C 2 2'
_cell_length_a 9.2727
_cell_length_b 9.4537
_cell_length_c 4.2793
_cell_angle_alpha 90.00
_cell_angle_beta 90.00
_cell_angle_gamma 90.00
loop_
_atom_site_label
_atom_site_fract_x
_atom_site_fract_y
_atom_site_fract_z
Y1 0.0000 0.0000 0.0000
Pa1 0.0000 0.5000 0.5000
Se1 0.0000 0.3094 0.0000
Se2 0.2026 0.0000 0.5000

***

7.
# AcHg3Pb PBE relaxed
# Density of states at the Fermi level ... 7.209 states/eV/cell
# Offset from the most stable computed form ... 163 meV/atom
data_AcHg3Pb
_chemical_formula_sum 'Ac2 Hg6 Pb2'
_symmetry_space_group_name_H-M 'P 63/m m c'
_symmetry_Int_Tables_number 194
_symmetry_space_group_name_Hall '-P 6c 2c'
_cell_length_a 7.4279
_cell_length_b 7.4279
_cell_length_c 6.4502
_cell_angle_alpha 90.00
_cell_angle_beta 90.00
_cell_angle_gamma 120.00
loop_
_atom_site_label
_atom_site_fract_x
_atom_site_fract_y
_atom_site_fract_z
Ac1 0.3333 0.6667 0.2500
Hg1 0.2006 0.4012 0.7500
Pb1 0.0000 0.0000 0.0000

***

8.
# DySc4Al5 PBE relaxed
# Density of states at the Fermi level ... 4.767 states/eV/cell
# Final energy ... -5.2990 eV/atom
data_DySc4Al5
_chemical_formula_sum 'Dy1 Sc4 Al5'
_symmetry_space_group_name_H-M 'P 4/m m m'
_symmetry_Int_Tables_number 123
_symmetry_space_group_name_Hall '-P 4 2'
_cell_length_a 3.4156
_cell_length_b 3.4156
_cell_length_c 17.1527
_cell_angle_alpha 90.00
_cell_angle_beta 90.00
_cell_angle_gamma 90.00
loop_
_atom_site_label
_atom_site_fract_x
_atom_site_fract_y
_atom_site_fract_z
Dy1 0.0000 0.0000 0.0000
Sc1 0.0000 0.0000 0.2096
Sc2 0.0000 0.0000 0.4035
Al1 0.5000 0.5000 0.1139
Al2 0.5000 0.5000 0.3067
Al3 0.5000 0.5000 0.5000

***

9.
# PrThHg6 PBE relaxed
# Density of states at the Fermi level ... 11.820 states/eV/cell
# Final energy ... -2.0898 eV/atom
data_PrThHg6
_chemical_formula_sum 'Pr2 Th2 Hg12'
_symmetry_space_group_name_H-M 'A m m 2'
_symmetry_Int_Tables_number 38
_cell_length_a 5.0441
_cell_length_b 6.8418
_cell_length_c 11.8591
_cell_angle_alpha 90.00
_cell_angle_beta 90.00
_cell_angle_gamma 90.00
loop_
_symmetry_equiv_pos_as_xyz
'x,y,z'
'-x,-y,z'
'-x,y,z'
'x,-y,z'
'x,y+1/2,z+1/2'
'-x,-y+1/2,z+1/2'
'-x,y+1/2,z+1/2'
'x,-y+1/2,z+1/2'
loop_
_atom_site_label
_atom_site_fract_x
_atom_site_fract_y
_atom_site_fract_z
Pr1 0.0000 0.0000 0.0000
Th1 0.5000 0.0000 0.3322
Hg1 0.0000 0.0000 0.5012
Hg2 0.0000 0.2454 0.7482
Hg3 0.5000 0.0000 0.8276
Hg4 0.5000 0.2404 0.5856

***

10.
# LaDyTm2Hg4 PBE relaxed
# Density of states at the Fermi level ... 22.315 states/eV/cell
# Final energy ... -2.9266 eV/atom
data_LaDyTm2Hg4
_chemical_formula_sum 'La3 Dy3 Tm6 Hg12'
_symmetry_space_group_name_H-M 'R -3 m'
_symmetry_Int_Tables_number 166
_symmetry_space_group_name_Hall '-R 3 2"'
_cell_length_a 5.2851
_cell_length_b 5.2851
_cell_length_c 26.2323
_cell_angle_alpha 90.00
_cell_angle_beta 90.00
_cell_angle_gamma 120.00
loop_
_atom_site_label
_atom_site_fract_x
_atom_site_fract_y
_atom_site_fract_z
La1 0.0000 0.0000 0.0000
Dy1 0.0000 0.0000 0.5000
Tm1 0.0000 0.0000 0.2485
Hg1 0.0000 0.0000 0.1276
Hg2 0.0000 0.0000 0.3796

***

11.
# LaCuCl6 PBE relaxed
# E_form (uncorrected) ... -130 kJ/mol of atoms
data_LaCuCl6
_chemical_formula_sum 'La1 Cu1 Cl6'
_symmetry_space_group_name_H-M 'P -1'
_symmetry_Int_Tables_number 2
_cell_length_a 4.4915
_cell_length_b 7.6888
_cell_length_c 7.8445
_cell_angle_alpha 64.92
_cell_angle_beta 84.76
_cell_angle_gamma 84.17
loop_
_symmetry_equiv_pos_as_xyz
'x,y,z'
'-x,-y,-z'
loop_
_atom_site_label
_atom_site_fract_x
_atom_site_fract_y
_atom_site_fract_z
La1 0.0000 0.0000 0.0000
Cu1 0.0000 0.5000 0.5000
Cl1 0.1195 0.4201 0.7880
Cl2 0.1324 0.7920 0.4112
Cl3 0.4763 0.1411 0.1337

***

12.
# Tb4Dy15Tm PBE relaxed
# Density of states at the Fermi level ... 26.098 states/eV/cell
# Final energy ... -4.5832 eV/atom
data_Tb4Dy15Tm
_chemical_formula_sum 'Tb4 Dy15 Tm1'
_symmetry_space_group_name_H-M 'P 4/m m m'
_symmetry_Int_Tables_number 123
_symmetry_space_group_name_Hall '-P 4 2'
_cell_length_a 5.0020
_cell_length_b 5.0020
_cell_length_c 25.0015
_cell_angle_alpha 90.00
_cell_angle_beta 90.00
_cell_angle_gamma 90.00
loop_
_atom_site_label
_atom_site_fract_x
_atom_site_fract_y
_atom_site_fract_z
Tb1 0.0000 0.0000 0.1001
Tb2 0.0000 0.0000 0.3004
Dy1 0.0000 0.5000 0.0000
Dy2 0.0000 0.5000 0.2003
Dy3 0.0000 0.5000 0.4007
Dy4 0.5000 0.5000 0.1001
Dy5 0.5000 0.5000 0.3006
Dy6 0.5000 0.5000 0.5000
Tm1 0.0000 0.0000 0.5000

***

13.
# Rb3Ag2PdBr9 PBE relaxed
# Density of states at the Fermi level ... 3.413 states/eV/cell
# E_form (uncorrected) ... -86 kJ/mol of atoms
data_Rb3Ag2PdBr9
_chemical_formula_sum 'Rb3 Ag2 Pd1 Br9'
_symmetry_space_group_name_H-M 'P -3 m 1'
_symmetry_Int_Tables_number 164
_symmetry_space_group_name_Hall '-P 3 2"'
_cell_length_a 7.6717
_cell_length_b 7.6717
_cell_length_c 9.2854
_cell_angle_alpha 90.00
_cell_angle_beta 90.00
_cell_angle_gamma 120.00
loop_
_atom_site_label
_atom_site_fract_x
_atom_site_fract_y
_atom_site_fract_z
Rb1 0.0000 0.0000 0.0000
Rb2 0.3333 0.6667 0.6778
Ag1 0.3333 0.6667 0.1708
Pd1 0.0000 0.0000 0.5000
Br1 0.0000 0.5000 0.0000
Br2 0.1597 0.3194 0.3408

***

14.
# Tb2Ga2GeRu5 PBE relaxed
# Density of states at the Fermi level ... 19.714 states/eV/cell
# Final energy ... -6.9740 eV/atom
data_Tb2Ga2GeRu5
_chemical_formula_sum 'Tb4 Ga4 Ge2 Ru10'
_symmetry_space_group_name_H-M 'P 4/m b m'
_symmetry_Int_Tables_number 127
_symmetry_space_group_name_Hall '-P 4 2ab'
_cell_length_a 10.0069
_cell_length_b 10.0069
_cell_length_c 3.3437
_cell_angle_alpha 90.00
_cell_angle_beta 90.00
_cell_angle_gamma 90.00
loop_
_atom_site_label
_atom_site_fract_x
_atom_site_fract_y
_atom_site_fract_z
Tb1 0.1700 0.3300 0.0000
Ga1 0.1301 0.6301 0.0000
Ge1 0.0000 0.0000 0.0000
Ru1 0.0000 0.5000 0.5000
Ru2 0.0608 0.8065 0.5000

***

15.
# Tb8Se3S3N PBE relaxed
# Density of states at the Fermi level ... 22.769 states/eV/cell
# E_form (uncorrected) ... -165 kJ/mol of atoms
data_Tb8Se3S3N
_chemical_formula_sum 'Tb24 Se9 S9 N3'
_symmetry_space_group_name_H-M 'R -3 m'
_symmetry_Int_Tables_number 166
_symmetry_space_group_name_Hall '-R 3 2"'
_cell_length_a 7.8556
_cell_length_b 7.8556
_cell_length_c 19.7124
_cell_angle_alpha 90.00
_cell_angle_beta 90.00
_cell_angle_gamma 120.00
loop_
_atom_site_label
_atom_site_fract_x
_atom_site_fract_y
_atom_site_fract_z
Tb1 0.0000 0.0000 0.2421
Tb2 0.0302 0.5151 0.2373
Se1 0.0000 0.5000 0.0000
S1 0.0000 0.5000 0.5000
N1 0.0000 0.0000 0.5000

***

16.
# NaSrBe PBE relaxed
# Density of states at the Fermi level ... 4.542 states/eV/cell
# Offset from the most stable computed form ... 298 meV/atom
data_NaSrBe
_chemical_formula_sum 'Na2 Sr2 Be2'
_symmetry_space_group_name_H-M 'I 4 m m'
_symmetry_Int_Tables_number 107
_symmetry_space_group_name_Hall 'I 4 -2'
_cell_length_a 3.7615
_cell_length_b 3.7615
_cell_length_c 12.7949
_cell_angle_alpha 90.00
_cell_angle_beta 90.00
_cell_angle_gamma 90.00
loop_
_atom_site_label
_atom_site_fract_x
_atom_site_fract_y
_atom_site_fract_z
Na1 0.0000 0.0000 0.0000
Sr1 0.0000 0.0000 0.2651
Be1 0.0000 0.0000 0.6286